A relaxed structure of GaCo6, computed with PBE-GGA.

Structure (CIF):
```
data_GaCo6
_chemical_formula_sum 'Ga1 Co6'
_cell_length_a 5.358
_cell_length_b 5.358
_cell_length_c 5.358
_cell_angle_alpha 109.47
_cell_angle_beta 109.47
_cell_angle_gamma 109.47
_space_group_name_H-M_alt 'P 1'
_space_group_IT_number 1
loop_
_space_group_symop_operation_xyz
'x,y,z'
loop_
_atom_site_label
_atom_site_fract_x
_atom_site_fract_y
_atom_site_fract_z
Co1 0.250 0.750 0.500
Co2 0.750 0.500 0.250
Co3 0.500 0.750 0.250
Co4 0.500 0.250 0.750
Co5 0.750 0.250 0.500
Co6 0.250 0.500 0.750
Ga1 0.000 0.000 0.000
```

Calculated values
SG = No. 229
formation energy = 718 kJ/mol of formula units

=====

A relaxed structure of Ga3Co13, computed with PBE-GGA.

Structure (CIF):
```
data_Ga3Co13
_chemical_formula_sum 'Ga3 Co13'
_cell_length_a 5.006
_cell_length_b 5.006
_cell_length_c 7.269
_cell_angle_alpha 90.00
_cell_angle_beta 90.00
_cell_angle_gamma 93.39
_space_group_name_H-M_alt 'P 1'
_space_group_IT_number 1
loop_
_space_group_symop_operation_xyz
'x,y,z'
loop_
_atom_site_label
_atom_site_fract_x
_atom_site_fract_y
_atom_site_fract_z
Co1 0.000 0.494 0.255
Co2 0.491 0.509 0.744
Co3 0.491 0.509 0.256
Co4 0.237 0.246 0.000
Co5 0.255 0.254 0.500
Co6 0.746 0.745 0.500
Co7 0.264 0.736 0.500
Co8 0.506 0.000 0.745
Co9 0.739 0.261 0.500
Co10 0.264 0.736 0.000
Co11 0.754 0.763 0.000
Co12 0.000 0.494 0.745
Co13 0.506 0.000 0.255
Ga1 0.011 0.989 0.257
Ga2 0.011 0.989 0.743
Ga3 0.728 0.272 0.000
```

Calculated values
SG = No. 38
formation energy = -86 kJ/mol of formula units

=====

A relaxed structure of GaCo3, computed with PBE-GGA.

Structure (CIF):
```
data_GaCo3
_chemical_formula_sum 'Ga1 Co3'
_cell_length_a 2.640
_cell_length_b 4.253
_cell_length_c 4.815
_cell_angle_alpha 116.21
_cell_angle_beta 105.91
_cell_angle_gamma 90.00
_space_group_name_H-M_alt 'P 1'
_space_group_IT_number 1
loop_
_space_group_symop_operation_xyz
'x,y,z'
loop_
_atom_site_label
_atom_site_fract_x
_atom_site_fract_y
_atom_site_fract_z
Co1 0.244 0.594 0.488
Co2 0.500 0.487 0.000
Co3 0.756 0.106 0.512
Ga1 0.000 0.980 0.000
```

Calculated values
SG = No. 44
formation energy = -23 kJ/mol of formula units

=====

A relaxed structure of Ga3Co, computed with PBE-GGA.

Structure (CIF):
```
data_Ga3Co
_chemical_formula_sum 'Ga3 Co1'
_cell_length_a 3.262
_cell_length_b 5.410
_cell_length_c 4.737
_cell_angle_alpha 124.83
_cell_angle_beta 110.14
_cell_angle_gamma 90.00
_space_group_name_H-M_alt 'P 1'
_space_group_IT_number 1
loop_
_space_group_symop_operation_xyz
'x,y,z'
loop_
_atom_site_label
_atom_site_fract_x
_atom_site_fract_y
_atom_site_fract_z
Ga1 0.690 0.027 0.380
Ga2 0.500 0.407 0.000
Ga3 0.310 0.647 0.620
Co1 0.000 0.086 0.000
```

Calculated values
SG = No. 44
formation energy = -43 kJ/mol of formula units